1.
Density functional theory data (PBE) for crystalline Ir4Rh3W at its relaxed geometry.

a b c (Å): 6.851 6.851 6.851
angles (deg): 157.07 100.05 84.52
Fractional positions:
Ir: 0.115 0.871 0.244
Ir: 0.374 0.129 0.244
Ir: 0.626 0.871 0.756
Ir: 0.885 0.129 0.756
Rh: 0.000 0.500 0.500
Rh: 0.281 0.281 0.000
Rh: 0.719 0.719 0.000
W: 0.500 0.000 0.500

- Total moment: 0.00 μB per formula unit
- E_form: 0.154 eV/atom

2.
Density functional theory data (PBE) for crystalline Tl4In2GaHg2 at its relaxed geometry.

a b c (Å): 6.830 6.887 7.400
angles (deg): 117.67 117.44 90.09
Fractional positions:
Tl: 0.136 0.207 0.000
Tl: 0.239 0.737 0.476
Tl: 0.761 0.263 0.524
Tl: 0.864 0.793 0.000
In: 0.310 0.644 0.000
In: 0.690 0.356 0.000
Ga: 0.500 0.000 0.000
Hg: 0.256 0.256 0.512
Hg: 0.744 0.744 0.488

- Total moment: 0.00 μB per formula unit
- E_form: 0.045 eV/atom

3.
Density functional theory data (PBE) for crystalline Er2MgTl3S6 at its relaxed geometry.

a b c (Å): 6.878 6.878 7.590
angles (deg): 98.69 98.69 119.99
Fractional positions:
Er: 0.167 0.833 0.000
Er: 0.833 0.167 0.000
Mg: 0.500 0.500 0.000
Tl: 0.000 0.000 0.500
Tl: 0.333 0.667 0.500
Tl: 0.667 0.333 0.500
S: 0.105 0.434 0.801
S: 0.238 0.238 0.200
S: 0.434 0.105 0.801
S: 0.566 0.895 0.199
S: 0.762 0.762 0.800
S: 0.895 0.566 0.199

- Total moment: 0.00 μB per formula unit
- Formation energy (no corrections): -1.211 eV/atom

4.
Density functional theory data (PBE) for crystalline BeNbSeI2 at its relaxed geometry.

a b c (Å): 6.127 6.127 4.926
angles (deg): 90.00 90.00 90.00
Fractional positions:
Be: 0.000 0.000 0.000
Nb: 0.500 0.500 0.000
Se: 0.500 0.500 0.500
I: 0.000 0.500 0.500
I: 0.500 0.000 0.500

- Total moment: 2.58 μB per formula unit
- Formation energy (no corrections): 1.203 eV/atom

One value per record, in order, for Fermi-level density of states: 9.0, 2.3, 5.2, 5.2 states/eV/f.u..